Record 1
# LaAlPCl2 PBEsol optimized geometry
# * raw formation energy: -0.99 eV per atom
# * E above lowest polymorph: 0 meV/atom
# * DOS(E_F): 0.464 states/eV/atom
# * raw total energy: -4.842 eV/atom
data_LaAlPCl2
_chemical_formula_sum 'La1 Al1 P1 Cl2'
_symmetry_space_group_name_H-M 'P 4/m m m'
_symmetry_Int_Tables_number 123
_symmetry_space_group_name_Hall '-P 4 2'
_cell_length_a 4.662
_cell_length_b 4.662
_cell_length_c 4.873
_cell_angle_alpha 90.00
_cell_angle_beta 90.00
_cell_angle_gamma 90.00
loop_
_atom_site_label
_atom_site_fract_x
_atom_site_fract_y
_atom_site_fract_z
La1 0.000 0.000 0.000
Al1 0.500 0.500 0.500
P1 0.500 0.500 0.000
Cl1 0.000 0.500 0.500


Record 2
# Ta2FeHg PBEsol optimized geometry
# * DOS(E_F): 1.193 states/eV/atom
# * raw total energy: -8.589 eV/atom
# * energy of formation from the pure elements: 0.07 eV per atom
data_Ta2FeHg
_chemical_formula_sum 'Ta2 Fe1 Hg1'
_symmetry_space_group_name_H-M 'P 4/m m m'
_symmetry_Int_Tables_number 123
_symmetry_space_group_name_Hall '-P 4 2'
_cell_length_a 2.860
_cell_length_b 2.860
_cell_length_c 7.864
_cell_angle_alpha 90.00
_cell_angle_beta 90.00
_cell_angle_gamma 90.00
loop_
_atom_site_label
_atom_site_fract_x
_atom_site_fract_y
_atom_site_fract_z
Ta1 0.000 0.000 0.208
Fe1 0.500 0.500 0.000
Hg1 0.500 0.500 0.500


Record 3
# Nb3IrW PBEsol optimized geometry
# * E above lowest polymorph: 191 meV/atom
# * DOS(E_F): 1.489 states/eV/atom
# * raw total energy: -9.502 eV/atom
# * energy of formation from the pure elements: 1.72 eV per atom
data_Nb3IrW
_chemical_formula_sum 'Nb3 Ir1 W1'
_symmetry_space_group_name_H-M 'P m -3 m'
_symmetry_Int_Tables_number 221
_symmetry_space_group_name_Hall '-P 4 2 3'
_cell_length_a 4.729
_cell_length_b 4.729
_cell_length_c 4.729
_cell_angle_alpha 90.00
_cell_angle_beta 90.00
_cell_angle_gamma 90.00
loop_
_atom_site_label
_atom_site_fract_x
_atom_site_fract_y
_atom_site_fract_z
Nb1 0.000 0.000 0.500
Ir1 0.500 0.500 0.500
W1 0.000 0.000 0.000


Record 4
# Mg2AlAu PBEsol optimized geometry
# * DOS(E_F): 0.321 states/eV/atom
# * raw total energy: -3.147 eV/atom
# * energy of formation from the pure elements: -0.28 eV per atom
data_Mg2AlAu
_chemical_formula_sum 'Mg2 Al1 Au1'
_symmetry_space_group_name_H-M 'P m m m'
_symmetry_Int_Tables_number 47
_cell_length_a 3.235
_cell_length_b 3.622
_cell_length_c 6.125
_cell_angle_alpha 90.00
_cell_angle_beta 90.00
_cell_angle_gamma 90.00
loop_
_symmetry_equiv_pos_as_xyz
'x,y,z'
'-x,-y,-z'
'-x,-y,z'
'x,y,-z'
'x,-y,-z'
'-x,y,z'
'-x,y,-z'
'x,-y,z'
loop_
_atom_site_label
_atom_site_fract_x
_atom_site_fract_y
_atom_site_fract_z
Mg1 0.000 0.000 0.238
Al1 0.500 0.500 0.500
Au1 0.500 0.500 0.000


Record 5
# BRhI2O PBEsol optimized geometry
# * raw formation energy: 0.20 eV per atom
# * DOS(E_F): 0.450 states/eV/atom
# * raw total energy: -4.591 eV/atom
data_BRhI2O
_chemical_formula_sum 'B1 Rh1 I2 O1'
_symmetry_space_group_name_H-M 'P 4/m m m'
_symmetry_Int_Tables_number 123
_symmetry_space_group_name_Hall '-P 4 2'
_cell_length_a 5.250
_cell_length_b 5.250
_cell_length_c 2.933
_cell_angle_alpha 90.00
_cell_angle_beta 90.00
_cell_angle_gamma 90.00
loop_
_atom_site_label
_atom_site_fract_x
_atom_site_fract_y
_atom_site_fract_z
B1 0.000 0.000 0.000
Rh1 0.500 0.500 0.500
I1 0.000 0.500 0.000
O1 0.000 0.000 0.500


Record 6
# La2AgRh2 PBEsol optimized geometry
# * E above lowest polymorph: 0 meV/atom
# * DOS(E_F): 0.620 states/eV/atom
# * raw total energy: -6.579 eV/atom
# * energy of formation from the pure elements: -0.52 eV per atom
data_La2AgRh2
_chemical_formula_sum 'La4 Ag2 Rh4'
_symmetry_space_group_name_H-M 'P 4/m b m'
_symmetry_Int_Tables_number 127
_symmetry_space_group_name_Hall '-P 4 2ab'
_cell_length_a 7.490
_cell_length_b 7.490
_cell_length_c 3.862
_cell_angle_alpha 90.00
_cell_angle_beta 90.00
_cell_angle_gamma 90.00
loop_
_atom_site_label
_atom_site_fract_x
_atom_site_fract_y
_atom_site_fract_z
La1 0.172 0.328 0.000
Ag1 0.000 0.000 0.500
Rh1 0.134 0.634 0.500


Record 7
# CdCuIr PBEsol optimized geometry
# * DOS(E_F): 0.825 states/eV/atom
# * raw total energy: -4.879 eV/atom
# * energy of formation from the pure elements: 0.24 eV per atom
data_CdCuIr
_chemical_formula_sum 'Cd2 Cu2 Ir2'
_symmetry_space_group_name_H-M 'I m m 2'
_symmetry_Int_Tables_number 44
_cell_length_a 2.786
_cell_length_b 3.664
_cell_length_c 8.758
_cell_angle_alpha 90.00
_cell_angle_beta 90.00
_cell_angle_gamma 90.00
loop_
_symmetry_equiv_pos_as_xyz
'x,y,z'
'-x,-y,z'
'-x,y,z'
'x,-y,z'
'x+1/2,y+1/2,z+1/2'
'-x+1/2,-y+1/2,z+1/2'
'-x+1/2,y+1/2,z+1/2'
'x+1/2,-y+1/2,z+1/2'
loop_
_atom_site_label
_atom_site_fract_x
_atom_site_fract_y
_atom_site_fract_z
Cd1 0.000 0.000 0.000
Cu1 0.000 0.000 0.678
Ir1 0.000 0.000 0.316


Record 8
# LaRhS2Cl PBEsol optimized geometry
# * raw formation energy: 0.13 eV per atom
# * DOS(E_F): 1.600 states/eV/atom
# * raw total energy: -4.718 eV/atom
data_LaRhS2Cl
_chemical_formula_sum 'La1 Rh1 S2 Cl1'
_symmetry_space_group_name_H-M 'P 4/m m m'
_symmetry_Int_Tables_number 123
_symmetry_space_group_name_Hall '-P 4 2'
_cell_length_a 5.433
_cell_length_b 5.433
_cell_length_c 5.302
_cell_angle_alpha 90.00
_cell_angle_beta 90.00
_cell_angle_gamma 90.00
loop_
_atom_site_label
_atom_site_fract_x
_atom_site_fract_y
_atom_site_fract_z
La1 0.000 0.000 0.000
Rh1 0.500 0.500 0.500
S1 0.000 0.500 0.000
Cl1 0.000 0.000 0.500


Record 9
# HfB4Ir3 PBEsol optimized geometry
# * DOS(E_F): 0.304 states/eV/atom
# * raw total energy: -9.081 eV/atom
# * energy of formation from the pure elements: -0.58 eV per atom
data_HfB4Ir3
_chemical_formula_sum 'Hf2 B8 Ir6'
_symmetry_space_group_name_H-M 'P 63/m'
_symmetry_Int_Tables_number 176
_symmetry_space_group_name_Hall '-P 6c'
_cell_length_a 7.5210
_cell_length_b 7.5210
_cell_length_c 3.5155
_cell_angle_alpha 90.00
_cell_angle_beta 90.00
_cell_angle_gamma 120.00
loop_
_atom_site_label
_atom_site_fract_x
_atom_site_fract_y
_atom_site_fract_z
Hf1 0.3333 0.6667 0.2500
B1 0.0000 0.0000 0.0000
B2 0.0500 0.4485 0.7500
Ir1 0.0743 0.7449 0.7500


Record 10
# KCu2Pd PBEsol optimized geometry
# * DOS(E_F): 0.357 states/eV/atom
# * raw total energy: -3.339 eV/atom
# * energy of formation from the pure elements: 0.60 eV per atom
data_KCu2Pd
_chemical_formula_sum 'K4 Cu8 Pd4'
_symmetry_space_group_name_H-M 'F m -3 m'
_symmetry_Int_Tables_number 225
_symmetry_space_group_name_Hall '-F 4 2 3'
_cell_length_a 6.456
_cell_length_b 6.456
_cell_length_c 6.456
_cell_angle_alpha 90.00
_cell_angle_beta 90.00
_cell_angle_gamma 90.00
loop_
_atom_site_label
_atom_site_fract_x
_atom_site_fract_y
_atom_site_fract_z
K1 0.000 0.000 0.000
Cu1 0.250 0.250 0.250
Pd1 0.000 0.000 0.500


Record 11
# K3BN PBEsol optimized geometry
# * raw formation energy: 1.24 eV per atom
# * DOS(E_F): 1.142 states/eV/atom
# * raw total energy: -2.550 eV/atom
data_K3BN
_chemical_formula_sum 'K3 B1 N1'
_symmetry_space_group_name_H-M 'P m -3 m'
_symmetry_Int_Tables_number 221
_symmetry_space_group_name_Hall '-P 4 2 3'
_cell_length_a 5.290
_cell_length_b 5.290
_cell_length_c 5.290
_cell_angle_alpha 90.00
_cell_angle_beta 90.00
_cell_angle_gamma 90.00
loop_
_atom_site_label
_atom_site_fract_x
_atom_site_fract_y
_atom_site_fract_z
K1 0.000 0.000 0.500
B1 0.500 0.500 0.500
N1 0.000 0.000 0.000


Record 12
# Ni2IrOs PBEsol optimized geometry
# * E above lowest polymorph: 0 meV/atom
# * DOS(E_F): 0.826 states/eV/atom
# * raw total energy: -8.577 eV/atom
# * energy of formation from the pure elements: 0.01 eV per atom
data_Ni2IrOs
_chemical_formula_sum 'Ni4 Ir2 Os2'
_symmetry_space_group_name_H-M 'I -4 m 2'
_symmetry_Int_Tables_number 119
_symmetry_space_group_name_Hall 'I -4 -2'
_cell_length_a 3.614
_cell_length_b 3.614
_cell_length_c 7.479
_cell_angle_alpha 90.00
_cell_angle_beta 90.00
_cell_angle_gamma 90.00
loop_
_atom_site_label
_atom_site_fract_x
_atom_site_fract_y
_atom_site_fract_z
Ni1 0.000 0.000 0.000
Ni2 0.000 0.500 0.250
Ir1 0.000 0.500 0.750
Os1 0.000 0.000 0.500